## Nb2GaNiH (PBE)

Data for a geometry-optimized Nb2GaNiH structure.

Structure (POSCAR):
```
Nb2GaNiH
1.0
4.084 0.000 0.000
0.000 4.084 0.000
0.000 0.000 3.854
Ga Ni Nb H
1 1 2 1
Direct
0.500 0.500 0.500 Ga
0.000 0.000 0.500 Ni
0.500 0.000 0.000 Nb
0.000 0.500 0.000 Nb
0.000 0.000 0.000 H
```

## Properties
M_tot in μB/f.u.: 0.00
E_tot in eV/atom: -6.72
Volume in A^3/atom: 12.85

---

## NbGaNi2H (PBE)

Data for a geometry-optimized NbGaNi2H structure.

Structure (POSCAR):
```
NbGaNi2H
1.0
-0.799 -2.118 -2.973
3.314 0.855 -1.499
1.679 -3.245 1.861
Ni Nb H Ga
2 1 1 1
Direct
0.500 0.000 0.000 Ni
0.000 0.500 0.000 Ni
0.000 0.000 0.500 Nb
0.000 0.000 0.000 H
0.500 0.500 0.500 Ga
```

## Properties
M_tot in μB/f.u.: 0.00
E_tot in eV/atom: -5.77
Volume in A^3/atom: 11.45

---

## NbGaNiH (PBE)

Data for a geometry-optimized NbGaNiH structure.

Structure (POSCAR):
```
NbGaNiH
1.0
4.165 -0.012 0.000
-2.093 3.602 0.006
0.000 -0.005 3.104
Nb H Ga Ni
1 1 1 1
Direct
0.594 0.122 0.310 Nb
0.184 0.532 0.310 H
0.920 0.796 0.810 Ga
0.257 0.459 0.810 Ni
```

## Properties
M_tot in μB/f.u.: 0.00
E_tot in eV/atom: -5.81
Volume in A^3/atom: 11.62

---

## Nb2GaNiH (PBE)

Data for a geometry-optimized Nb2GaNiH structure.

Structure (POSCAR):
```
Nb2GaNiH
1.0
-0.972 3.256 -3.694
-2.627 0.693 1.302
2.257 3.641 2.615
H Nb Ga Ni
1 2 1 1
Direct
0.000 0.500 0.000 H
0.500 0.000 0.000 Nb
0.000 0.000 0.500 Nb
0.000 0.000 0.000 Ga
0.500 0.500 0.500 Ni
```

## Properties
M_tot in μB/f.u.: 0.00
E_tot in eV/atom: -5.57
Volume in A^3/atom: 15.18

---

## Nb2GaHO (PBE)

Data for a geometry-optimized Nb2GaHO structure.

Structure (POSCAR):
```
Nb2GaHO
1.0
4.936 0.000 0.000
0.000 3.010 0.000
0.000 0.000 4.936
Nb Ga O H
2 1 1 1
Direct
0.000 0.000 0.500 Nb
0.500 0.000 0.000 Nb
0.000 0.000 0.000 Ga
0.500 0.500 0.500 O
0.000 0.500 0.000 H
```

## Properties
M_tot in μB/f.u.: 0.00
E_tot in eV/atom: -5.37
Volume in A^3/atom: 14.67

---

## NbGa2HPb (PBE)

Data for a geometry-optimized NbGa2HPb structure.

Structure (POSCAR):
```
NbGa2HPb
1.0
4.797 0.000 0.000
0.000 3.693 0.000
0.000 0.000 4.797
Nb H Ga Pb
1 1 2 1
Direct
0.000 0.500 0.000 Nb
0.000 0.000 0.000 H
0.500 0.000 0.000 Ga
0.000 0.000 0.500 Ga
0.500 0.500 0.500 Pb
```

## Properties
M_tot in μB/f.u.: 0.00
E_tot in eV/atom: -4.34
Volume in A^3/atom: 16.99

---

## Nb2GaHPt (PBE)

Data for a geometry-optimized Nb2GaHPt structure.

Structure (POSCAR):
```
Nb2GaHPt
1.0
-3.428 -1.481 -1.483
0.646 -3.452 1.952
-2.127 1.523 3.397
Ga H Nb Pt
1 1 2 1
Direct
0.500 0.500 0.500 Ga
0.000 0.000 0.000 H
0.000 0.500 0.000 Nb
0.500 0.000 0.000 Nb
0.000 0.000 0.500 Pt
```

## Properties
M_tot in μB/f.u.: 0.00
E_tot in eV/atom: -6.86
Volume in A^3/atom: 13.85

---

## Nb2GaHRh (PBE)

Data for a geometry-optimized Nb2GaHRh structure.

Structure (POSCAR):
```
Nb2GaHRh
1.0
4.116 0.000 0.000
0.000 4.116 0.000
0.000 0.000 4.000
Nb H Rh Ga
2 1 1 1
Direct
0.500 0.000 0.000 Nb
0.000 0.500 0.000 Nb
0.000 0.000 0.000 H
0.000 0.000 0.500 Rh
0.500 0.500 0.500 Ga
```

## Properties
M_tot in μB/f.u.: 0.00
E_tot in eV/atom: -7.09
Volume in A^3/atom: 13.55